The following is a DFT calculation (PBE) of crystalline Y4InNi2Sn4 at its relaxed geometry.

Calculated values
* DFT total energy: -5.720 eV/atom
* density: 6.8 g/cm3

Cell lengths 8.369, 8.369, 7.449 Å; angles 108.56, 108.56, 31.56 degrees
Element x y z (fractional)
1 Ni 0.222 0.222 0.644
2 Ni 0.778 0.778 0.356
3 Sn 0.798 0.798 0.727
4 Sn 0.202 0.202 0.273
5 Sn 0.071 0.071 0.676
6 Sn 0.929 0.929 0.324
7 Y 0.656 0.656 0.953
8 Y 0.591 0.591 0.392
9 Y 0.409 0.409 0.608
10 Y 0.344 0.344 0.047
11 In 0.000 0.000 0.000